Record 1
## La4Ag (meta-GGA SCAN)

Data for La4Ag at its PBEsol-relaxed geometry.

Computed properties:
Formation energy   -109 meV/atom
Polymorph energy (0 for the lowest one)   17 meV/atom
D(E_F)   1.18 states/eV per atom

a b c (Å): 3.7223 3.7223 22.0766
angles (deg): 90.00 90.00 90.00
Closest atoms and distances in Å follow each position.
Space group I4/mmm (No. 139)
Asymmetric unit:
La: 0.0000 0.0000 0.0841  4 Ag 3.22, 4 La 3.59
La: 0.0000 0.0000 0.3052  12 La 3.59-3.72
Ag: 0.0000 0.0000 0.5000  8 La 3.22


Record 2
## Rb2H6Pt (meta-GGA SCAN)

Data for Rb2H6Pt at its PBEsol-relaxed geometry.

Computed properties:
Total energy   -15.22 eV/atom
D(E_F)   0.00 states/eV per atom

a b c (Å): 8.2843 8.2843 8.2843
angles (deg): 90.00 90.00 90.00
Closest atoms and distances in Å follow each position.
Space group Fm-3m (No. 225)
Asymmetric unit:
Rb: 0.2500 0.2500 0.2500  12 H 2.96
H: 0.0000 0.0000 0.1988  1 Pt 1.65
Pt: 0.0000 0.0000 0.0000  6 H 1.65


Record 3
## HfCr3F (meta-GGA SCAN)

Data for HfCr3F at its PBEsol-relaxed geometry.

Computed properties:
Raw formation energy   0.1622 eV/atom
D(E_F)   0.75 states/eV per atom

a b c (Å): 3.9956 3.9956 3.9956
angles (deg): 90.00 90.00 90.00
Closest atoms and distances in Å follow each position.
Space group Pm-3m (No. 221)
Asymmetric unit:
Hf: 0.0000 0.0000 0.0000  12 Cr 2.83
Cr: 0.0000 0.5000 0.5000  2 F 2.00
F: 0.5000 0.5000 0.5000  6 Cr 2.00


Record 4
## BaScAl (meta-GGA SCAN)

Data for BaScAl at its PBEsol-relaxed geometry.

Computed properties:
Formation energy   143 meV/atom
Polymorph energy (0 for the lowest one)   0 meV/atom
D(E_F)   0.69 states/eV per atom

a b c (Å): 5.2261 5.2261 3.7329
angles (deg): 90.00 90.00 120.00
Closest atoms and distances in Å follow each position.
Space group P-6m2 (No. 187)
Asymmetric unit:
Ba: 0.0000 0.0000 0.0000  6 Al 3.55, 6 Sc 3.55, 2 Ba 3.73
Sc: 0.3333 0.6667 0.5000  3 Al 3.02
Al: 0.6667 0.3333 0.5000  3 Sc 3.02


Record 5
## YNbSe2 (meta-GGA SCAN)

Data for YNbSe2 at its PBEsol-relaxed geometry.

Computed properties:
Raw formation energy   -0.7336 eV/atom
D(E_F)   0.47 states/eV per atom

a b c (Å): 3.4559 3.4559 26.9805
angles (deg): 90.00 90.00 120.00
Closest atoms and distances in Å follow each position.
Space group R-3m (No. 166, hexagonal axes)
Asymmetric unit:
Y: 0.0000 0.0000 0.0000  2 Se 2.80
Nb: 0.0000 0.0000 0.5000  6 Se 2.62
Se: 0.0000 0.0000 0.1038  3 Nb 2.62, 1 Y 2.80


Record 6
## BaLi2Zn (meta-GGA SCAN)

Data for BaLi2Zn at its PBEsol-relaxed geometry.

Computed properties:
Formation energy   -49 meV/atom
D(E_F)   0.61 states/eV per atom

a b c (Å): 3.9819 4.3130 6.8562
angles (deg): 90.00 106.32 90.00
Closest atoms and distances in Å follow each position.
Space group Pm (No. 6)
Asymmetric unit:
Ba: 0.0000 0.0000 0.0000  4 Zn 3.38-3.39, 3 Li 3.44-3.73
Li: 0.2715 0.0000 0.5223  2 Zn 2.60
Li: 0.7307 0.5000 0.4448  2 Zn 2.80, 4 Li 2.97-2.99
Zn: 0.3757 0.5000 0.7440  4 Li 2.60-2.80


Record 7
## TlCdPb2 (meta-GGA SCAN)

Data for TlCdPb2 at its PBEsol-relaxed geometry.

Computed properties:
Formation energy   45 meV/atom
Polymorph energy (0 for the lowest one)   19 meV/atom
D(E_F)   0.39 states/eV per atom

a b c (Å): 3.4025 4.7678 6.7418
angles (deg): 90.00 90.00 90.00
Closest atoms and distances in Å follow each position.
Space group Pmm2 (No. 25)
Asymmetric unit:
Tl: 0.0000 0.0000 0.0000  6 Pb 3.25-3.49, 4 Cd 3.35, 2 Tl 3.40
Cd: 0.5000 0.5000 0.2399  6 Pb 3.34-3.41, 4 Tl 3.35, 2 Cd 3.40
Pb: 0.0000 0.0000 0.4819  2 Tl 3.25-3.49, 4 Cd 3.35, 6 Pb 3.40-3.42
Pb: 0.5000 0.5000 0.7450  2 Cd 3.34-3.41, 4 Tl 3.40, 6 Pb 3.40-3.42


Record 8
## La2Ni2O (meta-GGA SCAN)

Data for La2Ni2O at its PBEsol-relaxed geometry.

Computed properties:
Raw formation energy   -0.5973 eV/atom
D(E_F)   0.66 states/eV per atom

a b c (Å): 5.2624 5.2624 6.3159
angles (deg): 90.00 90.00 90.00
Closest atoms and distances in Å follow each position.
Space group I4/mmm (No. 139)
Asymmetric unit:
La: 0.0000 0.5000 0.2500  4 Ni 2.67
Ni: 0.0000 0.0000 0.1791  1 O 2.03, 1 Ni 2.26
O: 0.0000 0.0000 0.5000  2 Ni 2.03